Pm4Ho3Zn4 GGA-PBE optimized geometry; size of the total moment = 0.000 μB per cell; energy of formation = -0.09 eV/atom; density of states at the Fermi level = 0.9487 states/eV/atom; SG = Immm
1.0
5.096 0.000 0.000
0.000 6.849 0.000
-2.548 -3.425 8.420
Pm Ho Zn
4 3 4
direct
0.321 0.088 0.643
0.679 0.445 0.357
0.679 0.912 0.357
0.321 0.555 0.643
0.096 0.096 0.192
0.904 0.904 0.808
0.000 0.500 0.000
0.173 0.673 0.345
0.827 0.327 0.655
0.500 0.812 0.000
0.500 0.188 0.000